# Be3CI

A relaxed Be3CI crystal (GGA-PBE, Alexandria via LeMat-Bulk).

Geometry as POSCAR:
```
Be3CI
1.0
4.710 0.000 0.000
0.000 4.710 0.000
0.000 0.000 4.710
Be C I
3 1 1
Direct
0.000 0.000 0.500
0.000 0.500 0.000
0.500 0.000 0.000
0.500 0.500 0.500
0.000 0.000 0.000
```

Calculated volume   20.9 A^3/atom
Density of states at the Fermi level   0.37 states/eV per atom
Raw formation energy   2903 meV/atom
Total magnetic moment   0.8 μB/f.u.
Excess energy over the best structure of this formula in the dataset   2.169 eV per atom
Symmetry   Pm-3m